CrGaRu | PBE | relaxed

Computed properties:
- Density of states at the Fermi level: 3.35 states/eV per cell
- Energy of formation from the pure elements: 0.0539 eV per atom
- Total DFT energy (no corrections): -7.255 eV per atom

a = 2.729 Å, b = 4.136 Å, c = 4.136 Å
α = 120.00°, β = 90.00°, γ = 90.00°
Fractional positions:
Ru  0.653  0.667  0.333
Ga  0.003  0.000  0.000
Cr  0.345  0.333  0.667